The following is a DFT calculation (PBE-GGA) of ScTlTcO6 after structural relaxation. Values from VASP.

Geometry as Quantum ESPRESSO input:
```
&SYSTEM
  ibrav = 0, nat = 18, ntyp = 4
/
ATOMIC_SPECIES
Sc 44.96 Sc.upf
Tl 204.38 Tl.upf
Tc 98.00 Tc.upf
O 16.00 O.upf
CELL_PARAMETERS angstrom
5.334 0.000 0.000
-2.667 4.620 0.000
0.000 0.000 9.615
ATOMIC_POSITIONS crystal
Sc 0.333 0.667 0.250
Sc 0.667 0.333 0.750
Tl 0.000 0.000 0.000
Tl 0.000 0.000 0.500
Tc 0.333 0.667 0.750
Tc 0.667 0.333 0.250
O 0.025 0.382 0.637
O 0.025 0.642 0.863
O 0.358 0.382 0.863
O 0.358 0.975 0.637
O 0.382 0.025 0.137
O 0.382 0.358 0.363
O 0.618 0.642 0.637
O 0.618 0.975 0.863
O 0.642 0.025 0.363
O 0.642 0.618 0.137
O 0.975 0.358 0.137
O 0.975 0.618 0.363
```

Values from the calculation:
Formation energy from raw total energies, kJ/mol of atoms: -163
SG: P-31c, No. 163
Total moment, μB per atom: 0.000
Total DFT energy (no corrections), eV/atom: -7.116